Version 1
Below is a relaxed V2NiPd crystal, with properties calculated at the PBE level.

## Properties
Magnetization = 0.000 μB/atom

Cell lengths 2.624, 2.624, 7.620 Å; angles 90.00, 90.00, 90.00 degrees
Space group P4/mmm (No. 123)
Unique sites:
V1 0.000 0.000 0.236 [2 per cell]
Ni1 0.500 0.500 0.000 [1 per cell]
Pd1 0.500 0.500 0.500 [1 per cell]

***

Version 2
Below is a relaxed V2NiPd crystal, with properties calculated at the PBE level.

## Properties
Magnetization = 0.000 μB/atom

Cell lengths 3.611, 3.611, 17.412 Å; angles 90.00, 90.00, 90.00 degrees
Space group I-42d (No. 122)
Unique sites:
V1 0.236 0.250 0.125 [8 per cell]
Ni1 0.000 0.000 0.000 [4 per cell]
Pd1 0.000 0.000 0.500 [4 per cell]

***

The winner here is version 1, beating the second structure by 45.2 kJ/mol of atoms.

***

Version 1
Below is a relaxed V3NiPd crystal, with properties calculated at the PBE level.

## Properties
Magnetization = 1.161 μB/atom

Cell lengths 4.646, 4.646, 4.646 Å; angles 90.00, 90.00, 90.00 degrees
Space group Pm-3m (No. 221)
Unique sites:
V1 0.000 0.000 0.500 [3 per cell]
Ni1 0.500 0.500 0.500 [1 per cell]
Pd1 0.000 0.000 0.000 [1 per cell]

***

Version 2
Below is a relaxed V3NiPd crystal, with properties calculated at the PBE level.

## Properties
Magnetization = 0.107 μB/atom

Cell lengths 4.315, 4.315, 4.315 Å; angles 90.00, 90.00, 90.00 degrees
Space group Pm-3m (No. 221)
Unique sites:
V1 0.000 0.000 0.500 [3 per cell]
Ni1 0.000 0.000 0.000 [1 per cell]
Pd1 0.500 0.500 0.500 [1 per cell]

***

The winner here is version 2, beating the second structure by 67.1 kJ/mol of atoms.